(1)
VASP calculation (GGA-PBE) on crystalline TiGaFe2Re at its relaxed geometry.

Results
- DOS at the Fermi energy: 6.4 states/eV/cell
- ΔE_f: 1115 meV per atom
- E_tot: -6.944 eV per atom

Cell: 4.4683 4.4683 4.7271 Å, 90.00 90.00 90.00°
Space group P4/mmm (No. 123)
Inequivalent atoms, fractional coordinates:
1 Ti 0.0000 0.0000 0.0000 x1
2 Ga 0.5000 0.5000 0.0000 x1
3 Fe 0.0000 0.5000 0.5000 x2
4 Re 0.5000 0.5000 0.5000 x1

(2)
VASP calculation (GGA-PBE) on crystalline AcTbErTl at its relaxed geometry.

Results
- DOS at the Fermi energy: 28.9 states/eV/cell
- ΔE_f: 63 meV per atom
- E_tot: -3.854 eV per atom

Cell: 7.9437 7.9437 7.9437 Å, 90.00 90.00 90.00°
Space group F-43m (No. 216)
Inequivalent atoms, fractional coordinates:
1 Ac 0.0000 0.0000 0.0000 x4
2 Tb 0.2500 0.2500 0.7500 x4
3 Er 0.2500 0.2500 0.2500 x4
4 Tl 0.0000 0.0000 0.5000 x4

(3)
VASP calculation (GGA-PBE) on crystalline Pm3HgRh2 at its relaxed geometry.

Results
- DOS at the Fermi energy: 2.5 states/eV/cell
- ΔE_f: -631 meV per atom
- E_tot: -5.507 eV per atom

Cell: 3.5867 3.5867 11.0973 Å, 90.00 90.00 90.00°
Space group P4/mmm (No. 123)
Inequivalent atoms, fractional coordinates:
1 Pm 0.0000 0.0000 0.0000 x1
2 Pm 0.0000 0.0000 0.3070 x2
3 Hg 0.5000 0.5000 0.5000 x1
4 Rh 0.5000 0.5000 0.1596 x2

(4)
VASP calculation (GGA-PBE) on crystalline TcN at its relaxed geometry.

Results
- E_form (uncorrected): 205.8 meV per atom
- Energy above the lowest structure with this stoichiometry: 201.5 meV/atom
- DOS at the Fermi energy: 3.1 states/eV/cell
- E_tot: -9.140 eV per atom

Cell: 8.7886 3.4524 5.1278 Å, 90.00 90.00 90.00°
Space group Pmn2_1 (No. 31)
Inequivalent atoms, fractional coordinates:
1 Tc 0.0000 0.0470 0.0000 x2
2 Tc 0.2142 0.6018 0.7394 x4
3 N 0.0000 0.4886 0.7433 x2
4 N 0.2120 0.9030 0.0883 x4

(5)
VASP calculation (GGA-PBE) on crystalline BaCa5Ag2 at its relaxed geometry.

Results
- DOS at the Fermi energy: 15.7 states/eV/cell
- ΔE_f: -130 meV per atom
- E_tot: -2.334 eV per atom

Cell: 4.8999 9.7674 12.4528 Å, 90.00 90.00 90.00°
Space group Immm (No. 71)
Inequivalent atoms, fractional coordinates:
1 Ba 0.0000 0.0000 0.0000 x2
2 Ca 0.0000 0.1895 0.3411 x8
3 Ca 0.0000 0.5000 0.0000 x2
4 Ag 0.0000 0.5000 0.2544 x4

(6)
VASP calculation (GGA-PBE) on crystalline Nd2ErRu at its relaxed geometry.

Results
- Energy above the lowest structure with this stoichiometry: 448.3 meV/atom
- DOS at the Fermi energy: 15.9 states/eV/cell
- ΔE_f: 217 meV per atom
- E_tot: -5.627 eV per atom

Cell: 3.5945 3.5945 32.0690 Å, 90.00 90.00 120.00°
Space group R-3m (No. 166, hexagonal axes)
Inequivalent atoms, fractional coordinates:
1 Nd 0.0000 0.0000 0.1060 x6
2 Er 0.0000 0.0000 0.0000 x3
3 Ru 0.0000 0.0000 0.5000 x3

(7)
VASP calculation (GGA-PBE) on crystalline ZnOs2Pt at its relaxed geometry.

Results
- DOS at the Fermi energy: 9.3 states/eV/cell
- ΔE_f: 179 meV per atom
- E_tot: -7.264 eV per atom

Cell: 3.9232 3.9232 7.5440 Å, 90.00 90.00 90.00°
Space group I-4m2 (No. 119)
Inequivalent atoms, fractional coordinates:
1 Zn 0.0000 0.0000 0.0000 x2
2 Os 0.0000 0.0000 0.5000 x2
3 Os 0.0000 0.5000 0.7500 x2
4 Pt 0.0000 0.5000 0.2500 x2

(8)
VASP calculation (GGA-PBE) on crystalline SrLi2Pd at its relaxed geometry.

Results
- Energy above the lowest structure with this stoichiometry: 173.3 meV/atom
- DOS at the Fermi energy: 5.3 states/eV/cell
- ΔE_f: -156 meV per atom
- E_tot: -2.832 eV per atom

Cell: 4.3622 4.3622 20.2613 Å, 90.00 90.00 90.00°
Space group I-42d (No. 122)
Inequivalent atoms, fractional coordinates:
1 Sr 0.0000 0.0000 0.0000 x4
2 Li 0.1552 0.2500 0.6250 x8
3 Pd 0.0000 0.0000 0.5000 x4

(9)
VASP calculation (GGA-PBE) on crystalline Ac2TbBi at its relaxed geometry.

Results
- Energy above the lowest structure with this stoichiometry: 0.0 meV/atom
- DOS at the Fermi energy: 4.3 states/eV/cell
- ΔE_f: -339 meV per atom
- E_tot: -4.521 eV per atom

Cell: 5.2649 5.2649 5.1169 Å, 90.00 90.00 90.00°
Space group P4/mmm (No. 123)
Inequivalent atoms, fractional coordinates:
1 Ac 0.0000 0.5000 0.0000 x2
2 Tb 0.0000 0.0000 0.5000 x1
3 Bi 0.5000 0.5000 0.5000 x1

(10)
VASP calculation (GGA-PBE) on crystalline K2CrRu at its relaxed geometry.

Results
- Energy above the lowest structure with this stoichiometry: 219.7 meV/atom
- DOS at the Fermi energy: 7.7 states/eV/cell
- ΔE_f: 905 meV per atom
- E_tot: -4.368 eV per atom

Cell: 3.6793 5.9541 11.4041 Å, 90.00 90.00 90.00°
Space group Imm2 (No. 44)
Inequivalent atoms, fractional coordinates:
1 K 0.0000 0.0000 0.0000 x2
2 K 0.0000 0.5000 0.2055 x2
3 Cr 0.0000 0.5000 0.8031 x2
4 Ru 0.0000 0.0000 0.4160 x2

(11)
VASP calculation (GGA-PBE) on crystalline ThScPb at its relaxed geometry.

Results
- Energy above the lowest structure with this stoichiometry: 9.1 meV/atom
- DOS at the Fermi energy: 6.7 states/eV/cell
- ΔE_f: -310 meV per atom
- E_tot: -6.130 eV per atom

Cell: 4.4934 4.4934 8.5304 Å, 90.00 90.00 90.00°
Space group P4/nmm (No. 129, origin choice 2)
Inequivalent atoms, fractional coordinates:
1 Th 0.2500 0.2500 0.1469 x2
2 Sc 0.2500 0.7500 0.5000 x2
3 Pb 0.2500 0.2500 0.7521 x2

(12)
VASP calculation (GGA-PBE) on crystalline Tb5Sm2Ho at its relaxed geometry.

Results
- Energy above the lowest structure with this stoichiometry: 0.0 meV/atom
- DOS at the Fermi energy: 20.7 states/eV/cell
- ΔE_f: 15 meV per atom
- E_tot: -4.631 eV per atom

Cell: 7.1496 14.3010 5.0437 Å, 90.00 90.00 90.00°
Space group Pbam (No. 55)
Inequivalent atoms, fractional coordinates:
1 Tb 0.0000 0.0000 0.0000 x2
2 Tb 0.0011 0.2502 0.0000 x4
3 Tb 0.2491 0.8750 0.5000 x4
4 Sm 0.2491 0.6247 0.5000 x4
5 Ho 0.0000 0.5000 0.0000 x2

(13)
VASP calculation (GGA-PBE) on crystalline SiNi2Te at its relaxed geometry.

Results
- E_form (uncorrected): 48.7 meV per atom
- Energy above the lowest structure with this stoichiometry: 265.1 meV/atom
- DOS at the Fermi energy: 2.5 states/eV/cell
- E_tot: -4.983 eV per atom

Cell: 3.1741 3.4928 5.5874 Å, 90.00 90.00 90.00°
Space group Pmm2 (No. 25)
Inequivalent atoms, fractional coordinates:
1 Si 0.0000 0.0000 0.0000 x1
2 Ni 0.0000 0.0000 0.5985 x1
3 Ni 0.5000 0.5000 0.8854 x1
4 Te 0.5000 0.5000 0.3962 x1